A plane-wave DFT calculation with PBE was carried out for a relaxed KScW crystal.

CIF file:
```
data_KScW
_chemical_formula_sum 'K2 Sc2 W2'
_symmetry_space_group_name_H-M 'I m m 2'
_symmetry_Int_Tables_number 44
_cell_length_a 2.829
_cell_length_b 4.547
_cell_length_c 12.811
_cell_angle_alpha 90.00
_cell_angle_beta 90.00
_cell_angle_gamma 90.00
loop_
_symmetry_equiv_pos_as_xyz
'x,y,z'
'-x,-y,z'
'-x,y,z'
'x,-y,z'
'x+1/2,y+1/2,z+1/2'
'-x+1/2,-y+1/2,z+1/2'
'-x+1/2,y+1/2,z+1/2'
'x+1/2,-y+1/2,z+1/2'
loop_
_atom_site_label
_atom_site_type_symbol
_atom_site_fract_x
_atom_site_fract_y
_atom_site_fract_z
K1 K 0.000 0.000 0.000
Sc1 Sc 0.000 0.000 0.724
W1 W 0.000 0.000 0.293
```

Calculated values
Energy relative to the lowest polymorph listed for this composition (meV per atom): 216.5


A plane-wave DFT calculation with PBE was carried out for a relaxed Al8Ag3 crystal.

CIF file:
```
data_Al8Ag3
_chemical_formula_sum 'Al24 Ag9'
_symmetry_space_group_name_H-M 'R -3'
_symmetry_Int_Tables_number 148
_symmetry_space_group_name_Hall '-R 3'
_cell_length_a 9.0712
_cell_length_b 9.0712
_cell_length_c 9.3520
_cell_angle_alpha 90.00
_cell_angle_beta 90.00
_cell_angle_gamma 120.00
loop_
_atom_site_label
_atom_site_type_symbol
_atom_site_fract_x
_atom_site_fract_y
_atom_site_fract_z
Al1 Al 0.0000 0.0000 0.1418
Al2 Al 0.0285 0.2007 0.3844
Ag1 Ag 0.0000 0.5000 0.5000
```

Calculated values
Energy relative to the lowest polymorph listed for this composition (meV per atom): 164.5


A plane-wave DFT calculation with PBE was carried out for a relaxed ReSiW2 crystal.

CIF file:
```
data_ReSiW2
_chemical_formula_sum 'Re3 Si3 W6'
_symmetry_space_group_name_H-M 'R 3 m'
_symmetry_Int_Tables_number 160
_symmetry_space_group_name_Hall 'R 3 -2"'
_cell_length_a 2.8412
_cell_length_b 2.8412
_cell_length_c 26.0659
_cell_angle_alpha 90.00
_cell_angle_beta 90.00
_cell_angle_gamma 120.00
loop_
_atom_site_label
_atom_site_type_symbol
_atom_site_fract_x
_atom_site_fract_y
_atom_site_fract_z
Re1 Re 0.0000 0.0000 0.0000
Si1 Si 0.0000 0.0000 0.7431
W1 W 0.0000 0.0000 0.2496
W2 W 0.0000 0.0000 0.4918
```

Calculated values
ΔE_f (raw) (eV per atom): 0.1679


A plane-wave DFT calculation with PBE was carried out for a relaxed Ti3GaPb crystal.

CIF file:
```
data_Ti3GaPb
_chemical_formula_sum 'Ti12 Ga4 Pb4'
_symmetry_space_group_name_H-M 'C 1 2/m 1'
_symmetry_Int_Tables_number 12
_cell_length_a 10.181
_cell_length_b 3.842
_cell_length_c 9.361
_cell_angle_alpha 90.00
_cell_angle_beta 92.42
_cell_angle_gamma 90.00
loop_
_symmetry_equiv_pos_as_xyz
'x,y,z'
'-x,-y,-z'
'-x,y,-z'
'x,-y,z'
'x+1/2,y+1/2,z'
'-x+1/2,-y+1/2,-z'
'-x+1/2,y+1/2,-z'
'x+1/2,-y+1/2,z'
loop_
_atom_site_label
_atom_site_type_symbol
_atom_site_fract_x
_atom_site_fract_y
_atom_site_fract_z
Ti1 Ti 0.056 0.000 0.337
Ti2 Ti 0.058 0.500 0.864
Ti3 Ti 0.233 0.500 0.221
Ga1 Ga 0.136 0.000 0.053
Pb1 Pb 0.145 0.500 0.570
```

Calculated values
Energy relative to the lowest polymorph listed for this composition (meV per atom): 0.0


A plane-wave DFT calculation with PBE was carried out for a relaxed Ac2HoSc crystal.

CIF file:
```
data_Ac2HoSc
_chemical_formula_sum 'Ac6 Ho3 Sc3'
_symmetry_space_group_name_H-M 'R 3 m'
_symmetry_Int_Tables_number 160
_symmetry_space_group_name_Hall 'R 3 -2"'
_cell_length_a 3.7429
_cell_length_b 3.7429
_cell_length_c 35.2552
_cell_angle_alpha 90.00
_cell_angle_beta 90.00
_cell_angle_gamma 120.00
loop_
_atom_site_label
_atom_site_type_symbol
_atom_site_fract_x
_atom_site_fract_y
_atom_site_fract_z
Ac1 Ac 0.0000 0.0000 0.0000
Ac2 Ac 0.0000 0.0000 0.1612
Ho1 Ho 0.0000 0.0000 0.5820
Sc1 Sc 0.0000 0.0000 0.4133
```

Calculated values
Energy relative to the lowest polymorph listed for this composition (meV per atom): 66.5


A plane-wave DFT calculation with PBE was carried out for a relaxed NbPd3Cl crystal.

CIF file:
```
data_NbPd3Cl
_chemical_formula_sum 'Nb1 Pd3 Cl1'
_symmetry_space_group_name_H-M 'P m -3 m'
_symmetry_Int_Tables_number 221
_symmetry_space_group_name_Hall '-P 4 2 3'
_cell_length_a 4.542
_cell_length_b 4.542
_cell_length_c 4.542
_cell_angle_alpha 90.00
_cell_angle_beta 90.00
_cell_angle_gamma 90.00
loop_
_atom_site_label
_atom_site_type_symbol
_atom_site_fract_x
_atom_site_fract_y
_atom_site_fract_z
Nb1 Nb 0.000 0.000 0.000
Pd1 Pd 0.000 0.500 0.500
Cl1 Cl 0.500 0.500 0.500
```

Calculated values
Energy relative to the lowest polymorph listed for this composition (meV per atom): 0.0
ΔE_f (raw) (eV per atom): 0.7520


Quick rundown of magnetization, same order as above: 0.000; 0.000; 0.000; 0.240; 0.000; 3.217 μB/f.u.